1.
Compound: Pm6Pr16Ho7
Source: Alexandria via LeMat-Bulk
Functional: PBE-GGA
Structure: optimized geometry

Properties
size of the total moment	0.00	μB per cell
VASP energy	-4.528	eV/atom
density	6.73	g/cm³
density of states at the Fermi level	1.375	states/eV/atom

Cell: 16.1616 16.1616 16.1616 Å, 90.00 90.00 90.00°
Space group Fm-3m (No. 225)
Asymmetric unit:
Pm (0.0000, 0.0000, 0.2335) (multiplicity 24)
Pr (0.1261, 0.1261, 0.3739) (multiplicity 32)
Pr (0.1498, 0.1498, 0.1498) (multiplicity 32)
Ho (0.0000, 0.0000, 0.5000) (multiplicity 4)
Ho (0.0000, 0.2500, 0.2500) (multiplicity 24)

2.
Compound: Pm4Pr4Ho3
Source: Alexandria via LeMat-Bulk
Functional: PBE-GGA
Structure: optimized geometry

Properties
relative energy among the computed polymorphs	0	meV/atom
size of the total moment	0.00	μB per cell
density	7.27	g/cm³
density of states at the Fermi level	1.662	states/eV/atom

Cell: 3.5813 5.7467 18.4957 Å, 81.15 84.45 89.99°
Space group P-1 (No. 2)
Asymmetric unit:
Pm (0.0904, 0.0919, 0.3191) (multiplicity 2)
Pm (0.2327, 0.7327, 0.0348) (multiplicity 2)
Pr (0.0460, 0.5480, 0.4078) (multiplicity 2)
Pr (0.1798, 0.1802, 0.1403) (multiplicity 2)
Ho (0.3642, 0.3634, 0.7720) (multiplicity 2)
Ho (0.5000, 0.0000, 0.5000) (multiplicity 1)

Q: Among the records above, which one has the highest density of states at the Fermi level?
A: Pm4Pr4Ho3